The following is a DFT calculation (PBE-GGA) of a relaxed Cs3Rb3Ag2 crystal.

Calculated formation energy, eV per atom: 0.029
SG: P-1, No. 2
N(E_F), states/eV/cell: 5.96
Mass density, g cm⁻³: 2.40

POSCAR file:
```
Cs3Rb3Ag2
1.0
4.976 -0.003 1.066
-0.074 8.733 0.370
-0.384 -0.299 13.771
Rb Cs Ag
3 3 2
Direct
0.845 0.321 0.307
0.000 0.000 0.000
0.155 0.679 0.693
0.500 0.500 0.000
0.681 0.190 0.643
0.319 0.810 0.357
0.745 0.572 0.511
0.255 0.428 0.489
```

=====

The following is a DFT calculation (PBE-GGA) of a relaxed Sc11Tl9Pd4 crystal.

Calculated formation energy, eV per atom: -0.492
SG: Cmmm, No. 65
N(E_F), states/eV/cell: 16.38
Mass density, g cm⁻³: 8.77

POSCAR file:
```
Sc11Tl9Pd4
1.0
-2.217 -2.256 -1.416
3.237 -8.695 8.780
-9.802 7.297 3.723
Sc Tl Pd
11 9 4
Direct
0.000 0.694 0.694
0.000 0.370 0.630
0.000 0.074 0.415
0.000 0.585 0.926
0.000 0.840 0.160
0.000 0.630 0.370
0.000 0.926 0.585
0.000 0.000 0.000
0.000 0.306 0.306
0.000 0.160 0.840
0.000 0.415 0.074
0.500 0.852 0.369
0.500 0.500 0.500
0.500 0.785 0.934
0.500 0.066 0.215
0.500 0.215 0.066
0.500 0.148 0.631
0.500 0.934 0.785
0.500 0.369 0.852
0.500 0.631 0.148
0.500 0.550 0.751
0.500 0.249 0.450
0.500 0.751 0.550
0.500 0.450 0.249
```

=====

The following is a DFT calculation (PBE-GGA) of a relaxed NdSm6Dy2Ho crystal.

Calculated formation energy, eV per atom: 0.117
SG: C2/c, No. 15
N(E_F), states/eV/cell: 28.17
Mass density, g cm⁻³: 7.60

POSCAR file:
```
NdSm6Dy2Ho
1.0
-5.196 -0.842 -8.079
-4.779 -6.082 4.394
-2.144 8.554 1.174
Ho Sm Nd Dy
2 12 2 4
Direct
0.250 0.410 0.590
0.750 0.590 0.410
0.815 0.436 0.987
0.685 0.013 0.564
0.315 0.987 0.436
0.555 0.755 0.119
0.185 0.564 0.013
0.945 0.881 0.245
0.619 0.489 0.707
0.119 0.707 0.489
0.445 0.245 0.881
0.055 0.119 0.755
0.381 0.511 0.293
0.881 0.293 0.511
0.750 0.026 0.974
0.250 0.974 0.026
0.453 0.799 0.698
0.047 0.302 0.201
0.953 0.698 0.799
0.547 0.201 0.302
```

=====

The following is a DFT calculation (PBE-GGA) of a relaxed NaHfH2W crystal.

SG: P4/mmm, No. 123
N(E_F), states/eV/cell: 3.71
Mass density, g cm⁻³: 8.19

POSCAR file:
```
NaHfH2W
1.0
-1.174 -3.628 1.061
3.071 0.163 3.955
-2.898 1.577 2.186
H W Na Hf
2 1 1 1
Direct
0.500 0.000 0.000
0.000 0.000 0.500
0.000 0.000 0.000
0.500 0.500 0.500
0.000 0.500 0.000
```

=====

The following is a DFT calculation (PBE-GGA) of a relaxed Pm3GaGe6Rh2 crystal.

Calculated formation energy, eV per atom: -0.336
SG: P-3m1, No. 164
N(E_F), states/eV/cell: 5.37
Mass density, g cm⁻³: 7.51

POSCAR file:
```
Pm3GaGe6Rh2
1.0
-5.509 -1.915 -0.387
4.374 -3.230 -2.145
0.828 -3.913 7.579
Ga Ge Rh Pm
1 6 2 3
Direct
0.000 0.000 0.500
0.184 0.368 0.269
0.184 0.816 0.269
0.816 0.632 0.731
0.816 0.184 0.731
0.632 0.816 0.269
0.368 0.184 0.731
0.667 0.333 0.966
0.333 0.667 0.034
0.333 0.667 0.603
0.000 0.000 0.000
0.667 0.333 0.397
```

=====

The following is a DFT calculation (PBE-GGA) of a relaxed HoCd6In crystal.

Calculated formation energy, eV per atom: -0.132
SG: Amm2, No. 38
N(E_F), states/eV/cell: 3.06
Mass density, g cm⁻³: 8.42

POSCAR file:
```
HoCd6In
1.0
4.796 0.000 0.000
0.000 5.962 -2.275
0.000 0.600 6.353
Cd In Ho
6 1 1
Direct
0.000 0.651 0.951
0.500 0.940 0.060
0.000 0.049 0.349
0.500 0.857 0.562
0.000 0.562 0.438
0.500 0.438 0.143
0.500 0.364 0.636
0.000 0.140 0.860
```

=====

The following is a DFT calculation (PBE-GGA) of a relaxed ZrCd2Re crystal.

Calculated formation energy, eV per atom: 0.390
SG: Cmmm, No. 65
N(E_F), states/eV/cell: 2.90
Mass density, g cm⁻³: 10.88
Offset from the most stable computed form, eV per atom: 0.230

POSCAR file:
```
ZrCd2Re
1.0
-1.621 -2.036 -1.133
2.341 -0.211 -1.592
3.684 -6.423 6.267
Re Cd Zr
1 2 1
Direct
0.500 0.500 0.250
0.000 0.000 0.015
0.000 0.000 0.485
0.500 0.500 0.750
```

=====

The following is a DFT calculation (PBE-GGA) of a relaxed Y2GeO5 crystal.

E_form (uncorrected), eV per atom: -2.911
SG: C2/c, No. 15
N(E_F), states/eV/cell: 0.00
Mass density, g cm⁻³: 4.68
Offset from the most stable computed form, eV per atom: 0.000

POSCAR file:
```
Y2GeO5
1.0
-4.343 2.499 -4.807
-1.774 -5.234 -6.133
-9.093 -3.570 1.346
Y O Ge
8 20 4
Direct
0.261 0.061 0.660
0.981 0.439 0.840
0.019 0.561 0.160
0.207 0.605 0.469
0.720 0.105 0.969
0.739 0.939 0.340
0.793 0.395 0.531
0.280 0.895 0.031
0.109 0.365 0.605
0.599 0.959 0.871
0.087 0.908 0.330
0.351 0.786 0.822
0.921 0.865 0.105
0.572 0.459 0.371
0.215 0.469 0.940
0.624 0.031 0.560
0.785 0.531 0.060
0.428 0.541 0.629
0.649 0.214 0.178
0.959 0.714 0.678
0.041 0.286 0.322
0.079 0.135 0.895
0.376 0.969 0.440
0.891 0.635 0.395
0.401 0.041 0.129
0.326 0.592 0.170
0.913 0.092 0.670
0.674 0.408 0.830
0.409 0.563 0.806
0.591 0.437 0.194
0.222 0.063 0.306
0.778 0.937 0.694
```

=====

The following is a DFT calculation (PBE-GGA) of a relaxed Sc13Ag2 crystal.

Calculated formation energy, eV per atom: -0.024
SG: P-1, No. 2
N(E_F), states/eV/cell: 26.79
Mass density, g cm⁻³: 3.80

POSCAR file:
```
Sc13Ag2
1.0
-2.527 4.330 -3.355
-6.570 -2.604 3.789
3.278 6.420 3.466
Sc Ag
13 2
Direct
0.498 0.851 0.798
0.000 0.000 0.000
0.616 0.410 0.611
0.298 0.352 0.978
0.250 0.057 0.587
0.702 0.648 0.022
0.115 0.523 0.738
0.216 0.774 0.158
0.502 0.149 0.202
0.384 0.590 0.389
0.784 0.226 0.842
0.885 0.477 0.262
0.750 0.943 0.413
0.065 0.233 0.384
0.935 0.767 0.616
```

=====

The following is a DFT calculation (PBE-GGA) of a relaxed CaH3Pt crystal.

SG: Pm, No. 6
N(E_F), states/eV/cell: 1.04
Mass density, g cm⁻³: 7.41

POSCAR file:
```
CaH3Pt
1.0
-3.540 -0.996 4.017
-3.270 -1.984 0.371
3.834 -5.965 1.900
Ca H Pt
2 6 2
Direct
0.340 0.832 0.074
0.340 0.832 0.578
0.995 0.229 0.326
0.842 0.326 0.826
0.394 0.442 0.326
0.813 0.832 0.077
0.338 0.336 0.826
0.813 0.832 0.574
0.844 0.832 0.826
0.765 0.833 0.326
```

=====

The following is a DFT calculation (PBE-GGA) of a relaxed LiHoIn4 crystal.

Calculated formation energy, eV per atom: -0.075
SG: P4/mmm, No. 123
N(E_F), states/eV/cell: 3.12
Mass density, g cm⁻³: 6.57

POSCAR file:
```
LiHoIn4
1.0
-1.774 0.297 -4.137
3.858 -1.531 -1.765
-2.643 -7.356 0.605
Li In Ho
1 4 1
Direct
0.500 0.500 0.500
0.000 0.500 0.290
0.500 0.000 0.290
0.000 0.500 0.710
0.500 0.000 0.710
0.000 0.000 0.000
```

=====

The following is a DFT calculation (PBE-GGA) of a relaxed Cr2MoRu crystal.

Calculated formation energy, eV per atom: 0.167
SG: F-43m, No. 216
N(E_F), states/eV/cell: 5.66
Mass density, g cm⁻³: 9.05

POSCAR file:
```
Cr2MoRu
1.0
-1.648 3.924 -0.403
-3.821 0.898 1.694
-0.277 2.563 3.411
Mo Cr Ru
1 2 1
Direct
0.500 0.500 0.500
0.000 0.000 0.000
0.250 0.250 0.250
0.750 0.750 0.750
```

=====

The following is a DFT calculation (PBE-GGA) of a relaxed Er4PuS6 crystal.

E_form (uncorrected), eV per atom: -1.956
SG: Cmcm, No. 63
N(E_F), states/eV/cell: 30.86
Mass density, g cm⁻³: 7.60

POSCAR file:
```
Er4PuS6
1.0
3.852 0.000 0.000
-1.926 6.393 0.000
0.000 0.000 19.607
S Er Pu
12 8 2
Direct
0.500 0.000 0.000
0.686 0.372 0.750
0.770 0.539 0.412
0.955 0.910 0.666
0.230 0.461 0.588
0.770 0.539 0.088
0.955 0.910 0.834
0.045 0.090 0.166
0.500 0.000 0.500
0.230 0.461 0.912
0.045 0.090 0.334
0.314 0.628 0.250
0.862 0.724 0.959
0.592 0.185 0.629
0.138 0.276 0.459
0.408 0.815 0.371
0.408 0.815 0.129
0.592 0.185 0.871
0.138 0.276 0.041
0.862 0.724 0.541
0.344 0.688 0.750
0.656 0.312 0.250
```

=====

The following is a DFT calculation (PBE-GGA) of a relaxed Sm6Cu5Ag crystal.

Calculated formation energy, eV per atom: -0.190
SG: P2/m, No. 10
N(E_F), states/eV/cell: 7.55
Mass density, g cm⁻³: 8.02

POSCAR file:
```
Sm6Cu5Ag
1.0
-2.723 -0.144 -4.291
-2.617 -6.332 1.873
-7.160 3.371 1.394
Cu Sm Ag
5 6 1
Direct
0.335 0.500 0.331
0.335 0.000 0.331
0.665 0.500 0.669
0.000 0.500 0.000
0.665 0.000 0.669
0.830 0.747 0.340
0.170 0.747 0.660
0.830 0.253 0.340
0.500 0.257 0.000
0.170 0.253 0.660
0.500 0.743 0.000
0.000 0.000 0.000
```

=====

The following is a DFT calculation (PBE-GGA) of a relaxed Pm2InGe2 crystal.

Calculated formation energy, eV per atom: -0.740
SG: P4/mbm, No. 127
N(E_F), states/eV/cell: 5.25
Mass density, g cm⁻³: 7.42

POSCAR file:
```
Pm2InGe2
1.0
-3.186 0.881 2.751
4.487 -1.871 5.795
2.384 7.164 0.467
Ge Pm In
4 4 2
Direct
0.000 0.881 0.619
0.000 0.119 0.381
0.000 0.619 0.119
0.000 0.381 0.881
0.500 0.320 0.180
0.500 0.180 0.680
0.500 0.820 0.320
0.500 0.680 0.820
0.000 0.000 0.000
0.000 0.500 0.500
```

=====

The following is a DFT calculation (PBE-GGA) of a relaxed Ca2LaP crystal.

Calculated formation energy, eV per atom: -0.654
SG: R3m, No. 160
N(E_F), states/eV/cell: 4.25
Mass density, g cm⁻³: 2.83

POSCAR file:
```
Ca2LaP
1.0
-9.834 -0.675 -3.170
-9.658 -3.709 -0.423
-10.321 0.140 0.815
Ca La P
2 1 1
Direct
0.250 0.250 0.250
0.030 0.030 0.030
0.471 0.471 0.471
0.750 0.750 0.750
```

=====

The following is a DFT calculation (PBE-GGA) of a relaxed LiTaW crystal.

Calculated formation energy, eV per atom: 0.159
SG: Cm, No. 8
N(E_F), states/eV/cell: 8.33
Mass density, g cm⁻³: 11.88
Offset from the most stable computed form, eV per atom: 0.000

POSCAR file:
```
LiTaW
1.0
14.401 0.000 0.027
0.000 3.171 0.000
-0.110 0.000 4.552
W Ta Li
4 4 4
Direct
0.224 0.000 0.545
0.224 0.500 0.045
0.377 0.500 0.555
0.377 0.000 0.055
0.893 0.000 0.521
0.062 0.500 0.533
0.893 0.500 0.021
0.062 0.000 0.033
0.538 0.000 0.563
0.715 0.500 0.514
0.715 0.000 0.014
0.538 0.500 0.063
```

=====

The following is a DFT calculation (PBE-GGA) of a relaxed UO4 crystal.

E_form (uncorrected), eV per atom: -1.525
SG: P-43m, No. 215
N(E_F), states/eV/cell: 2.81
Mass density, g cm⁻³: 5.85
Offset from the most stable computed form, eV per atom: 0.450

POSCAR file:
```
UO4
1.0
4.410 0.000 0.000
0.000 4.410 0.000
0.000 0.000 4.410
U O
1 4
Direct
0.000 0.000 0.000
0.251 0.749 0.749
0.251 0.251 0.251
0.749 0.251 0.749
0.749 0.749 0.251
```

=====

The following is a DFT calculation (PBE-GGA) of a relaxed Sr2ErRuO6 crystal.

E_form (uncorrected), eV per atom: -2.459
SG: P2_1/c, No. 14
N(E_F), states/eV/cell: 1.35
Mass density, g cm⁻³: 6.44

POSCAR file:
```
Sr2ErRuO6
1.0
5.847 0.000 0.000
0.000 5.796 0.000
0.000 5.750 8.216
O Sr Er Ru
12 4 2 2
Direct
0.702 0.733 0.537
0.982 0.193 0.236
0.272 0.660 0.039
0.202 0.267 0.963
0.518 0.193 0.736
0.482 0.807 0.264
0.298 0.267 0.463
0.228 0.660 0.539
0.728 0.340 0.961
0.018 0.807 0.764
0.798 0.733 0.037
0.772 0.340 0.461
0.966 0.258 0.749
0.534 0.258 0.249
0.466 0.742 0.751
0.034 0.742 0.251
0.500 0.000 0.000
0.000 0.000 0.500
0.500 0.500 0.500
0.000 0.500 0.000
```

=====

The following is a DFT calculation (PBE-GGA) of a relaxed Sm2NiB2Rh5 crystal.

Calculated formation energy, eV per atom: -0.534
SG: P4/mbm, No. 127
N(E_F), states/eV/cell: 16.13
Mass density, g cm⁻³: 10.13

POSCAR file:
```
Sm2NiB2Rh5
1.0
-3.031 0.286 -1.081
-0.025 -9.234 -2.371
-3.299 -2.216 8.666
Sm Ni Rh B
4 2 10 4
Direct
0.000 0.823 0.677
0.000 0.177 0.323
0.000 0.677 0.177
0.000 0.323 0.823
0.000 0.500 0.500
0.000 0.000 0.000
0.500 0.779 0.931
0.500 0.221 0.069
0.500 0.721 0.431
0.500 0.069 0.779
0.500 0.569 0.721
0.500 0.000 0.500
0.500 0.431 0.279
0.500 0.931 0.221
0.500 0.279 0.569
0.500 0.500 0.000
0.000 0.377 0.123
0.000 0.123 0.623
0.000 0.623 0.877
0.000 0.877 0.377
```

=====

| no. | total energy (eV/cell) |
| --- | --- |
| 1 | -10.93 |
| 2 | -123.53 |
| 3 | -91.39 |
| 4 | -25.30 |
| 5 | -63.72 |
| 6 | -13.86 |
| 7 | -21.27 |
| 8 | -262.51 |
| 9 | -88.37 |
| 10 | -41.56 |
| 11 | -17.89 |
| 12 | -38.69 |
| 13 | -157.72 |
| 14 | -53.93 |
| 15 | -50.35 |
| 16 | -16.96 |
| 17 | -104.97 |
| 18 | -38.75 |
| 19 | -143.07 |
| 20 | -141.34 |